La4RhSCl2 | Alexandria | PBE | optimized geometry; VASP energy = -47.21 eV/cell; D(E_F) = 0.69 states/eV per atom; space-group type = P2/m; E_form (uncorrected) = -1541.2 meV/atom
1.0
7.429 0.000 0.000
0.000 4.063 0.000
-2.347 0.000 7.066
La Rh S Cl
4 1 1 2
direct
0.223 0.000 0.233
0.231 0.500 0.738
0.769 0.500 0.262
0.777 0.000 0.767
0.000 0.500 0.000
0.000 0.000 0.500
0.500 0.000 0.000
0.500 0.500 0.500